No. 1
Entry from Alexandria via LeMat-Bulk: an optimized crystal structure of Ce3Np2O9 (PBE-GGA).

```
Ce3Np2O9
1.0
-1.940 1.940 13.617
1.940 -1.940 13.617
1.940 1.940 -13.617
Ce Np O
3 2 9
direct
0.000 0.000 0.000
0.402 0.402 0.000
0.598 0.598 0.000
0.197 0.197 0.000
0.803 0.803 0.000
0.054 0.554 0.500
0.161 0.661 0.500
0.339 0.839 0.500
0.446 0.946 0.500
0.548 0.048 0.500
0.650 0.150 0.500
0.750 0.250 0.500
0.850 0.350 0.500
0.952 0.452 0.500
```

Calculated values
calculated total energy	-133.847	eV per cell
E_form (uncorrected)	-3.253	eV per atom

No. 2
Entry from Alexandria via LeMat-Bulk: an optimized crystal structure of Cd3BrF (PBE-GGA).

```
Cd3BrF
1.0
5.053 0.000 0.000
0.000 5.053 0.000
0.000 0.000 5.053
Cd Br F
3 1 1
direct
0.000 0.000 0.500
0.000 0.500 0.000
0.500 0.000 0.000
0.500 0.500 0.500
0.000 0.000 0.000
```

Calculated values
calculated total energy	-8.177	eV per cell
distance to the lowest polymorph of the same formula	0.0	meV/atom
E_form (uncorrected)	-0.377	eV per atom

No. 3
Entry from Alexandria via LeMat-Bulk: an optimized crystal structure of Tl2SiSe (PBE-GGA).

```
Tl2SiSe
1.0
3.106 0.000 0.000
0.000 5.607 0.000
-0.033 0.000 5.871
Tl Si Se
2 1 1
direct
0.216 0.000 0.249
0.784 0.000 0.751
0.500 0.500 0.000
0.500 0.500 0.500
```

Calculated values
calculated total energy	-12.418	eV per cell
distance to the lowest polymorph of the same formula	285.2	meV/atom
E_form (uncorrected)	0.305	eV per atom

- Which of these has the lowest calculated total energy?
  Ce3Np2O9

Please write out number 3 again, unchanged.
Entry from Alexandria via LeMat-Bulk: an optimized crystal structure of Tl2SiSe (PBE-GGA).

```
Tl2SiSe
1.0
3.106 0.000 0.000
0.000 5.607 0.000
-0.033 0.000 5.871
Tl Si Se
2 1 1
direct
0.216 0.000 0.249
0.784 0.000 0.751
0.500 0.500 0.000
0.500 0.500 0.500
```

Calculated values
calculated total energy	-12.418	eV per cell
distance to the lowest polymorph of the same formula	285.2	meV/atom
E_form (uncorrected)	0.305	eV per atom